Entry 1:
First-principles (GGA-PBE) data for a relaxed structure of MnInRh4, as listed in Alexandria.

abc: 5.1653 5.1653 5.1653
angles: 60.00 60.00 60.00
Last column: nearest neighbours and their distance in Å.
Positions (direct):
Rh: 0.3749 0.8754 0.3749  6 Rh 2.58-2.59
Rh: 0.3749 0.3749 0.3749  6 Rh 2.58-2.59
Rh: 0.8754 0.3749 0.3749  6 Rh 2.58-2.59
Rh: 0.3749 0.3749 0.8754  6 Rh 2.58-2.59
Mn: 0.0000 0.0000 0.0000  12 Rh 3.03, 4 In 3.16
In: 0.7500 0.7500 0.7500  12 Rh 3.03, 4 Mn 3.16

Space group ... F-43m (216)
Calculated density ... 9.907 g cm⁻³
Size of the total moment ... 5.19 μB per cell

Entry 2:
First-principles (GGA-PBE) data for a relaxed structure of Mn2InRh, as listed in Alexandria.

abc: 3.2064 3.2064 6.0061
angles: 90.00 90.00 90.00
Last column: nearest neighbours and their distance in Å.
Positions (direct):
Mn: 0.5000 0.5000 0.2398  4 Mn 2.58, 4 Rh 2.68
Mn: 0.0000 0.0000 0.0343  4 Mn 2.58, 1 Rh 2.66, 4 In 2.84
In: 0.5000 0.5000 0.7483  4 Rh 2.79, 6 Mn 2.84-3.05
Rh: 0.0000 0.0000 0.4775  5 Mn 2.66-2.68, 4 In 2.79

Space group ... P4mm (99)
Calculated density ... 8.810 g cm⁻³
Size of the total moment ... 0.80 μB per cell

Entry 3:
First-principles (GGA-PBE) data for a relaxed structure of Mn3InRh, as listed in Alexandria.

abc: 4.8313 4.8313 4.8313
angles: 90.00 90.00 90.00
Last column: nearest neighbours and their distance in Å.
Positions (direct):
In: 0.5000 0.5000 0.5000  12 Mn 3.42
Mn: 0.5000 0.0000 0.0000  2 Rh 2.42
Mn: 0.0000 0.0000 0.5000  2 Rh 2.42
Mn: 0.0000 0.5000 0.0000  2 Rh 2.42
Rh: 0.0000 0.0000 0.0000  6 Mn 2.42

Distance to the lowest polymorph of the same formula ... 0 meV/atom
Space group ... Pm-3m (221)
Calculated density ... 5.633 g cm⁻³
Size of the total moment ... 13.35 μB per cell

Entry 4:
First-principles (GGA-PBE) data for a relaxed structure of MnIn2Rh3, as listed in Alexandria.

abc: 7.1212 7.1212 6.3307
angles: 90.00 90.00 143.19
Last column: nearest neighbours and their distance in Å.
Positions (direct):
Rh: 0.5000 0.5000 0.7537  6 In 2.74-2.77, 2 Mn 2.75
Rh: 0.8304 0.1696 0.7606  3 Mn 2.67-2.71, 5 In 2.75-2.82
Rh: 0.8304 0.1696 0.2394  3 Mn 2.67-2.71, 5 In 2.75-2.82
Rh: 0.1696 0.8304 0.2394  3 Mn 2.67-2.71, 5 In 2.75-2.82
Rh: 0.1696 0.8304 0.7606  3 Mn 2.67-2.71, 5 In 2.75-2.82
Rh: 0.5000 0.5000 0.2463  6 In 2.74-2.77, 2 Mn 2.75
In: 0.3332 0.6668 0.5000  8 Rh 2.76-2.79
In: 0.0000 0.0000 0.5000  8 Rh 2.76-2.82
In: 0.6668 0.3332 0.5000  8 Rh 2.76-2.79
In: 0.0000 0.0000 0.0000  8 Rh 2.74-2.75
Mn: 0.3320 0.6680 0.0000  8 Rh 2.67-2.75
Mn: 0.6680 0.3320 0.0000  8 Rh 2.67-2.75

Space group ... Cmmm (65)
Calculated density ... 10.244 g cm⁻³
Size of the total moment ... 9.18 μB per cell

Entry 5:
First-principles (GGA-PBE) data for a relaxed structure of MnInRh3, as listed in Alexandria.

abc: 4.4754 4.4754 4.4754
angles: 90.00 90.00 90.00
Last column: nearest neighbours and their distance in Å.
Positions (direct):
In: 0.5000 0.5000 0.5000  12 Rh 3.16
Rh: 0.0000 0.5000 0.0000  2 Mn 2.24
Rh: 0.0000 0.0000 0.5000  2 Mn 2.24
Rh: 0.5000 0.0000 0.0000  2 Mn 2.24
Mn: 0.0000 0.0000 0.0000  6 Rh 2.24

Space group ... Pm-3m (221)
Calculated density ... 8.864 g cm⁻³
Size of the total moment ... 0.00 μB per cell

Entry 6:
First-principles (GGA-PBE) data for a relaxed structure of Mn2InRh, as listed in Alexandria.

abc: 5.0226 5.0226 4.5364
angles: 71.29 71.29 35.73
Last column: nearest neighbours and their distance in Å.
Positions (direct):
Mn: 0.7581 0.7581 0.7568  2 Rh 2.64, 4 In 2.74-2.75, 3 Mn 2.75-2.87
Mn: 0.0058 0.0058 0.9792  4 Rh 2.71-2.78, 3 Mn 2.75-2.87, 3 In 2.85-2.99
In: 0.2449 0.2449 0.2657  7 Mn 2.74-2.99, 3 Rh 2.77-2.89
Rh: 0.4911 0.4911 0.4982  6 Mn 2.64-2.78, 3 In 2.77-2.89

Space group ... Cm (8)
Calculated density ... 8.645 g cm⁻³
Size of the total moment ... 7.25 μB per cell

Entry 7:
First-principles (GGA-PBE) data for a relaxed structure of MnIn5Rh6, as listed in Alexandria.

abc: 4.5259 6.4355 7.1566
angles: 90.00 71.65 90.00
Last column: nearest neighbours and their distance in Å.
Positions (direct):
Rh: 0.1657 0.2469 0.6686  1 Mn 2.76, 7 In 2.77-2.82
Rh: 0.8343 0.2469 0.3314  1 Mn 2.76, 7 In 2.77-2.82
Rh: 0.8343 0.7531 0.3314  1 Mn 2.76, 7 In 2.77-2.82
Rh: 0.5000 0.7517 0.0000  6 In 2.73-2.79, 2 Mn 2.77
Rh: 0.5000 0.2483 0.0000  6 In 2.73-2.79, 2 Mn 2.77
Rh: 0.1657 0.7531 0.6686  1 Mn 2.76, 7 In 2.77-2.82
In: 0.0000 0.5000 0.0000  8 Rh 2.78
In: 0.3371 0.0000 0.3258  8 Rh 2.73-2.82
In: 0.6629 0.0000 0.6742  8 Rh 2.73-2.82
In: 0.6670 0.5000 0.6661  8 Rh 2.79-2.80
In: 0.3330 0.5000 0.3339  8 Rh 2.79-2.80
Mn: 0.0000 0.0000 0.0000  8 Rh 2.76-2.77

Space group ... P2/m (10)
Calculated density ... 10.462 g cm⁻³
Size of the total moment ... 4.63 μB per cell

Entry 8:
First-principles (GGA-PBE) data for a relaxed structure of MnInRh, as listed in Alexandria.

abc: 4.3719 4.3719 4.3719
angles: 60.00 60.00 60.00
Last column: nearest neighbours and their distance in Å.
Positions (direct):
In: 0.0000 0.0000 0.0000  4 Rh 2.68
Rh: 0.7500 0.7500 0.7500  4 Mn 2.68, 4 In 2.68
Mn: 0.5000 0.5000 0.5000  4 Rh 2.68

Space group ... F-43m (216)
Calculated density ... 7.663 g cm⁻³
Size of the total moment ... 4.26 μB per cell

Entry 9:
First-principles (GGA-PBE) data for a relaxed structure of MnInRh2, as listed in Alexandria.

abc: 2.9251 2.9251 7.4413
angles: 90.00 90.00 90.00
Last column: nearest neighbours and their distance in Å.
Positions (direct):
Mn: 0.5000 0.5000 0.7783  4 Rh 2.61, 4 Mn 2.93
In: 0.0000 0.0000 0.4911  4 Rh 2.80, 4 In 2.93, 4 Mn 2.97
Rh: 0.0000 0.0000 0.9928  4 Mn 2.61, 8 Rh 2.76-2.93
Rh: 0.5000 0.5000 0.2378  8 Rh 2.76-2.93, 4 In 2.80

Space group ... P4mm (99)
Calculated density ... 9.795 g cm⁻³
Size of the total moment ... 3.40 μB per cell

Entry 10:
First-principles (GGA-PBE) data for a relaxed structure of MnInRh2, as listed in Alexandria.

abc: 6.9741 6.9741 5.6669
angles: 52.02 52.02 90.00
Last column: nearest neighbours and their distance in Å.
Positions (direct):
In: 0.0000 0.0000 0.0000  4 Rh 2.72, 2 Mn 2.79
In: 0.7500 0.2500 0.5000  4 Rh 2.72, 2 Mn 2.79
Rh: 0.1563 0.6250 0.2500  2 Mn 2.42
Rh: 0.3750 0.4063 0.7500  2 Mn 2.42
Rh: 0.5937 0.1250 0.2500  2 Mn 2.42
Rh: 0.8750 0.8437 0.7500  2 Mn 2.42
Mn: 0.5000 0.5000 0.0000  4 Rh 2.42
Mn: 0.2500 0.7500 0.5000  4 Rh 2.42

Space group ... I-42d (122)
Calculated density ... 9.185 g cm⁻³
Size of the total moment ... 7.69 μB per cell

Entry 11:
First-principles (GGA-PBE) data for a relaxed structure of MnInRh2, as listed in Alexandria.

abc: 4.9883 4.9883 4.9883
angles: 134.47 134.47 66.36
Last column: nearest neighbours and their distance in Å.
Positions (direct):
Mn: 0.7500 0.2500 0.5000  8 Rh 2.73-2.84, 4 In 2.84
Rh: 0.0000 0.0000 0.0000  4 In 2.73, 4 Mn 2.84, 4 Rh 2.84
Rh: 0.2500 0.7500 0.5000  4 Mn 2.73, 4 In 2.84, 4 Rh 2.84
In: 0.5000 0.5000 0.0000  8 Rh 2.73-2.84, 4 Mn 2.84

Space group ... I-4m2 (119)
Calculated density ... 10.021 g cm⁻³
Size of the total moment ... 3.59 μB per cell

Entry 12:
First-principles (GGA-PBE) data for a relaxed structure of Mn2InRh, as listed in Alexandria.

abc: 4.8371 4.8371 4.8371
angles: 130.95 130.95 71.89
Last column: nearest neighbours and their distance in Å.
Positions (direct):
Mn: 0.5000 0.5000 0.0000  4 Rh 2.80, 4 In 2.80, 4 Mn 2.84
Mn: 0.0000 0.0000 0.0000  4 In 2.80, 4 Rh 2.80, 4 Mn 2.84
Rh: 0.2500 0.7500 0.5000  8 Mn 2.80, 4 In 2.84
In: 0.7500 0.2500 0.5000  8 Mn 2.80, 4 Rh 2.84

Space group ... I4/mmm (139)
Calculated density ... 8.614 g cm⁻³
Size of the total moment ... 7.64 μB per cell

Values of ΔE_f, in order: 0.044 -0.060 0.757 -0.361 0.651 0.049 -0.402 0.026 0.011 0.189 -0.173 0.021, all in eV per atom.